Record 1
Entry from Alexandria: a relaxed structure of KAcTl2F6 (PBE). Values from VASP.

The structure in Quantum ESPRESSO input format:
```
&SYSTEM
  ibrav = 0, nat = 20, ntyp = 4
/
ATOMIC_SPECIES
K 39.10 K.upf
Ac 227.00 Ac.upf
Tl 204.38 Tl.upf
F 19.00 F.upf
ATOMIC_POSITIONS crystal
K 0.000 0.000 0.000
K 0.000 0.500 0.500
Ac 0.500 0.000 0.500
Ac 0.500 0.500 0.000
Tl 0.237 0.041 0.749
Tl 0.237 0.459 0.249
Tl 0.763 0.541 0.751
Tl 0.763 0.959 0.251
F 0.141 0.173 0.443
F 0.141 0.327 0.943
F 0.268 0.706 0.432
F 0.268 0.794 0.932
F 0.392 0.051 0.265
F 0.392 0.449 0.765
F 0.608 0.551 0.235
F 0.608 0.949 0.735
F 0.732 0.206 0.068
F 0.732 0.294 0.568
F 0.859 0.673 0.057
F 0.859 0.827 0.557
CELL_PARAMETERS angstrom
6.690 0.000 0.000
0.000 7.003 0.000
-6.563 0.000 9.658
```

* uncorrected formation energy: -2902 meV/atom
* raw total energy: -5.02 eV/atom

Record 2
Entry from Alexandria: a relaxed structure of Al3V2Ga4 (PBE). Values from VASP.

The structure in Quantum ESPRESSO input format:
```
&SYSTEM
  ibrav = 0, nat = 18, ntyp = 3
/
ATOMIC_SPECIES
Al 26.98 Al.upf
V 50.94 V.upf
Ga 69.72 Ga.upf
ATOMIC_POSITIONS crystal
Al 0.029 0.971 0.750
Al 0.332 0.446 0.485
Al 0.446 0.332 0.985
Al 0.554 0.668 0.015
Al 0.668 0.554 0.515
Al 0.971 0.029 0.250
V 0.120 0.294 0.109
V 0.294 0.120 0.609
V 0.706 0.880 0.391
V 0.880 0.706 0.891
Ga 0.015 0.358 0.617
Ga 0.212 0.635 0.000
Ga 0.358 0.015 0.117
Ga 0.365 0.788 0.500
Ga 0.635 0.212 0.500
Ga 0.642 0.985 0.883
Ga 0.788 0.365 0.000
Ga 0.985 0.642 0.383
CELL_PARAMETERS angstrom
5.815 -4.912 0.000
5.815 4.912 0.000
-0.909 0.000 5.001
```

* raw total energy: -4.72 eV/atom
* ΔH_f (0 K): -0.099 eV/atom